DFT (GGA-PBE) results for an optimized crystal structure of DyHoTh2As4.

a = 4.1960 Å, b = 7.2077 Å, c = 7.2674 Å
α = 70.30°, β = 90.00°, γ = 90.00°
Sites, in units of the cell vectors:
As 0.5000 0.2585 0.7477
As 0.5000 0.7415 0.2523
Ho 0.5000 0.5000 0.0000
As 0.0000 0.2589 0.2464
Th 0.5000 0.0000 0.5000
Th 0.0000 0.0000 0.0000
As 0.0000 0.7411 0.7536
Dy 0.0000 0.5000 0.5000

## Properties
calculated total energy	-6.79	eV/atom